VASP calculation (PBE) on a relaxed Th3Co2Pt crystal.

abc: 7.027 7.027 7.977
angles: 106.56 106.56 48.33
Fractional coordinates of all 12 atoms:
Th1 0.001 0.999 0.750
Th2 0.319 0.319 0.410
Th3 0.319 0.319 0.910
Th4 0.681 0.681 0.090
Th5 0.681 0.681 0.590
Th6 0.999 0.001 0.250
Co1 0.162 0.162 0.081
Co2 0.162 0.162 0.581
Co3 0.838 0.838 0.419
Co4 0.838 0.838 0.919
Pt1 0.499 0.501 0.250
Pt2 0.501 0.499 0.750

For the formation energy, the calculation gives -327 kJ/mol of formula units. The size of the total moment is 0.0 μB per cell.

VASP calculation (PBE) on a relaxed AcGa2I crystal.

abc: 4.635 4.457 11.519
angles: 90.00 98.74 90.00
Fractional coordinates of all 8 atoms:
Ac1 0.166 0.250 0.265
Ac2 0.834 0.750 0.735
Ga1 0.060 0.250 0.932
Ga2 0.401 0.750 0.927
Ga3 0.599 0.250 0.073
Ga4 0.940 0.750 0.068
I1 0.288 0.250 0.603
I2 0.712 0.750 0.397

The size of the total moment is 0.0 μB per cell. The value obtained for the uncorrected formation energy is -721 meV per atom.

VASP calculation (PBE) on a relaxed Mg2Zn2Ni crystal.

abc: 7.232 7.232 3.221
angles: 90.00 90.00 90.00
Fractional coordinates of all 10 atoms:
Mg1 0.162 0.338 0.000
Mg2 0.338 0.838 0.000
Mg3 0.662 0.162 0.000
Mg4 0.838 0.662 0.000
Zn1 0.138 0.638 0.500
Zn2 0.362 0.138 0.500
Zn3 0.638 0.862 0.500
Zn4 0.862 0.362 0.500
Ni1 0.000 0.000 0.000
Ni2 0.500 0.500 0.000

For the formation energy, the calculation gives 108 kJ/mol of formula units. The size of the total moment is 0.0 μB per cell.

VASP calculation (PBE) on a relaxed Ca2HfIr crystal.

abc: 5.074 5.074 5.074
angles: 60.00 60.00 60.00
Fractional coordinates of all 4 atoms:
Ca1 0.250 0.250 0.250
Ca2 0.750 0.750 0.750
Hf1 0.000 0.000 0.000
Ir1 0.500 0.500 0.500

For the formation energy, the calculation gives 188 kJ/mol of formula units. The size of the total moment is 0.0 μB per cell.

VASP calculation (PBE) on a relaxed MnPIr2 crystal.

abc: 4.307 4.307 4.833
angles: 100.20 100.20 39.42
Fractional coordinates of all 4 atoms:
Mn1 0.000 0.000 0.000
P1 0.500 0.500 0.500
Ir1 0.249 0.249 0.743
Ir2 0.751 0.751 0.257

For the formation energy, the calculation gives -29 kJ/mol of formula units. The size of the total moment is 3.7 μB per cell.

VASP calculation (PBE) on a relaxed Pm3Ag2Rh crystal.

abc: 7.752 7.752 8.078
angles: 105.08 105.08 45.21
Fractional coordinates of all 12 atoms:
Pm1 0.001 0.999 0.750
Pm2 0.358 0.360 0.930
Pm3 0.360 0.358 0.430
Pm4 0.640 0.642 0.570
Pm5 0.642 0.640 0.070
Pm6 0.999 0.001 0.250
Ag1 0.179 0.182 0.590
Ag2 0.182 0.179 0.090
Ag3 0.818 0.821 0.910
Ag4 0.821 0.818 0.410
Rh1 0.499 0.501 0.250
Rh2 0.501 0.499 0.750

For the formation energy, the calculation gives -174 kJ/mol of formula units. The size of the total moment is 0.0 μB per cell.

VASP calculation (PBE) on a relaxed TiBSbI2 crystal.

abc: 5.422 5.422 5.500
angles: 90.00 90.00 90.00
Fractional coordinates of all 5 atoms:
Ti1 0.000 0.000 0.000
B1 0.500 0.500 0.500
Sb1 0.000 0.000 0.500
I1 0.000 0.500 0.000
I2 0.500 0.000 0.000

The size of the total moment is 0.0 μB per cell. The value obtained for the uncorrected formation energy is 962 meV per atom.

VASP calculation (PBE) on a relaxed Ba2ZnH6Ir crystal.

abc: 5.862 5.843 5.819
angles: 60.35 60.02 59.62
Fractional coordinates of all 10 atoms:
Ba1 0.250 0.250 0.250
Ba2 0.750 0.750 0.750
Zn1 0.000 0.000 0.000
H1 0.290 0.710 0.710
H2 0.291 0.709 0.291
H3 0.292 0.292 0.708
H4 0.708 0.708 0.292
H5 0.709 0.291 0.709
H6 0.710 0.290 0.290
Ir1 0.500 0.500 0.500

The value obtained for the calculated total energy is -3.84 eV/atom. The size of the total moment is 0.0 μB per cell.

VASP calculation (PBE) on a relaxed PmZrAg2 crystal.

abc: 3.550 3.550 7.323
angles: 90.00 90.00 90.00
Fractional coordinates of all 4 atoms:
Pm1 0.000 0.000 0.000
Zr1 0.000 0.000 0.500
Ag1 0.500 0.500 0.281
Ag2 0.500 0.500 0.719

For the formation energy, the calculation gives -33 kJ/mol of formula units. The size of the total moment is 1.1 μB per cell.

VASP calculation (PBE) on a relaxed Th2CdOs crystal.

abc: 5.208 5.208 5.208
angles: 60.00 60.00 60.00
Fractional coordinates of all 4 atoms:
Th1 0.250 0.250 0.250
Th2 0.750 0.750 0.750
Cd1 0.000 0.000 0.000
Os1 0.500 0.500 0.500

For the formation energy, the calculation gives -18 kJ/mol of formula units. The size of the total moment is 0.0 μB per cell.

VASP calculation (PBE) on a relaxed AlSiPbAu2 crystal.

abc: 4.946 4.946 4.829
angles: 90.00 90.00 90.00
Fractional coordinates of all 5 atoms:
Al1 0.000 0.000 0.000
Si1 0.000 0.000 0.500
Pb1 0.500 0.500 0.500
Au1 0.000 0.500 0.000
Au2 0.500 0.000 0.000

The size of the total moment is 0.0 μB per cell. The value obtained for the uncorrected formation energy is 316 meV per atom.

VASP calculation (PBE) on a relaxed BeAsIr2 crystal.

abc: 2.950 2.950 6.085
angles: 90.00 90.00 90.00
Fractional coordinates of all 4 atoms:
Be1 0.000 0.000 0.000
As1 0.000 0.000 0.500
Ir1 0.500 0.500 0.222
Ir2 0.500 0.500 0.778

For the formation energy, the calculation gives -60 kJ/mol of formula units. The size of the total moment is 0.0 μB per cell.